A plane-wave DFT calculation with PBE was carried out for a relaxed structure of CsTeSe.

Values from the calculation:
DOS at the Fermi energy	6.596	states/eV/cell
total energy	-2.99	eV/atom
formation energy from raw total energies	-0.50	eV/atom
ΔE to the lowest computed polymorph	0.50	eV per formula unit

```
data_CsTeSe
_cell_length_a 5.2294
_cell_length_b 5.2294
_cell_length_c 10.3358
_cell_angle_alpha 90.00
_cell_angle_beta 90.00
_cell_angle_gamma 90.00
_symmetry_space_group_name_H-M 'I 4 m m'
_symmetry_Int_Tables_number 107
_symmetry_space_group_name_Hall 'I 4 -2'
loop_
_atom_site_label
_atom_site_type_symbol
_atom_site_fract_x
_atom_site_fract_y
_atom_site_fract_z
Cs1 Cs 0.0000 0.0000 0.0000
Te1 Te 0.0000 0.0000 0.3688
Se1 Se 0.0000 0.0000 0.6103
```